1.
A plane-wave DFT calculation with PBE was carried out for crystalline FeTcMoAs at its relaxed geometry.

Structure (extended XYZ):
```
4
Lattice="0.000 3.039 3.039 3.039 0.000 3.039 3.039 3.039 0.000" Properties=species:S:1:pos:R:3 pbc="T T T"
Fe 0.000 0.000 0.000
Tc 3.039 3.039 3.039
Mo 1.519 1.519 1.519
As 4.558 4.558 4.558
```

The energy above the most stable polymorph in this dataset is 0 meV/atom. The calculation puts the uncorrected energy at -8.33 eV/atom. As for the space-group type: F-43m (216).

***

2.
A plane-wave DFT calculation with PBE was carried out for crystalline Y2Hg2Au at its relaxed geometry.

Structure (extended XYZ):
```
5
Lattice="-2.443 2.443 5.879 2.443 -2.443 5.879 2.443 2.443 -5.879" Properties=species:S:1:pos:R:3 pbc="T T T"
Y 2.443 0.000 2.940
Y 0.000 2.443 2.940
Hg 0.000 0.000 1.308
Hg 0.000 0.000 10.450
Au 0.000 0.000 5.879
```

The energy above the most stable polymorph in this dataset is 411 meV/atom. The calculation puts the uncorrected energy at -3.28 eV/atom. As for the space-group type: I4/mmm (139).

***

3.
A plane-wave DFT calculation with PBE was carried out for crystalline Tb2Tm2Al3 at its relaxed geometry.

Structure (extended XYZ):
```
7
Lattice="5.927 -2.487 0.000 5.927 2.487 0.000 -2.553 0.000 6.070" Properties=species:S:1:pos:R:3 pbc="T T T"
Tb -0.214 0.000 1.699
Tb 9.515 0.000 4.371
Tm 3.245 0.000 1.220
Tm 6.056 0.000 4.849
Al 1.648 0.000 4.047
Al 5.927 0.000 0.000
Al 7.653 0.000 2.023
```

The calculation puts the uncorrected energy at -4.38 eV/atom. As for the space-group type: C2/m (12).

***

Q: Look up the uncorrected energy of the first one.
A: -8.33 eV/atom

***

Please write out number 3 again, unchanged.
A plane-wave DFT calculation with PBE was carried out for crystalline Tb2Tm2Al3 at its relaxed geometry.

Structure (extended XYZ):
```
7
Lattice="5.927 -2.487 0.000 5.927 2.487 0.000 -2.553 0.000 6.070" Properties=species:S:1:pos:R:3 pbc="T T T"
Tb -0.214 0.000 1.699
Tb 9.515 0.000 4.371
Tm 3.245 0.000 1.220
Tm 6.056 0.000 4.849
Al 1.648 0.000 4.047
Al 5.927 0.000 0.000
Al 7.653 0.000 2.023
```

The calculation puts the uncorrected energy at -4.38 eV/atom. As for the space-group type: C2/m (12).

***

Copy entry 2 word for word.
A plane-wave DFT calculation with PBE was carried out for crystalline Y2Hg2Au at its relaxed geometry.

Structure (extended XYZ):
```
5
Lattice="-2.443 2.443 5.879 2.443 -2.443 5.879 2.443 2.443 -5.879" Properties=species:S:1:pos:R:3 pbc="T T T"
Y 2.443 0.000 2.940
Y 0.000 2.443 2.940
Hg 0.000 0.000 1.308
Hg 0.000 0.000 10.450
Au 0.000 0.000 5.879
```

The energy above the most stable polymorph in this dataset is 411 meV/atom. The calculation puts the uncorrected energy at -3.28 eV/atom. As for the space-group type: I4/mmm (139).

***

Q: Among the records above, which one has the highest uncorrected energy?
A: Y2Hg2Au